The following is a DFT calculation (PBE-GGA) of an optimized crystal structure of PaGa2Ge2.

The structure in extended XYZ format:
```
10
Lattice="4.7358 0.0000 0.0000 -2.3679 4.1013 0.0000 0.0000 0.0000 11.9686" Properties=species:S:1:pos:R:3 pbc="T T T"
Pa 0.0000 0.0000 2.9921
Pa 0.0000 0.0000 8.9764
Ga 0.0000 0.0000 0.0000
Ga 0.0000 0.0000 5.9843
Ga 0.0000 2.7342 2.9921
Ga 2.3679 1.3671 8.9764
Ge 0.0000 2.7342 7.4936
Ge 0.0000 2.7342 10.4593
Ge 2.3679 1.3671 1.5093
Ge 2.3679 1.3671 4.4750
```

## Properties
The space group is P6_3/mmc, No. 194. The energy above the most stable polymorph in this dataset is 410.9 meV per atom. Its total magnetization is 0.0 μB per formula unit.